A plane-wave DFT calculation with PBE-GGA was carried out for an optimized crystal structure of PrNdY2Se6.

Uncorrected energy   -185.7 eV for the cell shown

Structure (CIF):
```
data_PrNdY2Se6
_chemical_formula_sum 'Pr3 Nd3 Y6 Se18'
_symmetry_space_group_name_H-M 'R 3'
_symmetry_Int_Tables_number 146
_symmetry_space_group_name_Hall 'R 3'
_cell_length_a 7.3738
_cell_length_b 7.3738
_cell_length_c 19.5956
_cell_angle_alpha 90.00
_cell_angle_beta 90.00
_cell_angle_gamma 120.00
loop_
_atom_site_label
_atom_site_type_symbol
_atom_site_fract_x
_atom_site_fract_y
_atom_site_fract_z
_atom_site_occupancy
Pr1 Pr 0.0000 0.0000 0.0000 1
Nd1 Nd 0.0000 0.0000 0.4986 1
Y1 Y 0.0000 0.0000 0.2978 1
Y2 Y 0.0000 0.0000 0.7987 1
Se1 Se 0.0180 0.3105 0.8939 1
Se2 Se 0.0220 0.7114 0.3938 1
```